Here is a PBEsol-optimized structure of TlCuCl2 from the Alexandria database. Energies are from meta-GGA SCAN.

a b c (Å): 4.7214 3.8369 6.0904
angles (deg): 90.00 112.78 90.00
Atoms (fractional coordinates):
Tl (0.0000, 0.0000, 0.0000)
Cu (0.3702, 0.5000, 0.7485)
Cl (0.2732, 0.0000, 0.5478)
Cl (0.5700, 0.5000, 0.1400)

Computed properties:
**Uncorrected formation energy**: -0.746 eV per atom
**Volume**: 101.7 Å³/cell